(1)
Compound: MoOsRu
Source: Alexandria via LeMat-Bulk
Functional: PBE-GGA
Structure: relaxed

Results
VASP energy   -10.35 eV/atom
Energy relative to the elements   0.09 eV per atom

Geometry as POSCAR:
```
MoOsRu
1.0
4.7813 -0.0001 -0.0031
2.4183 4.1246 0.0031
-3.2033 -2.7545 2.2389
Ru Os Mo
1 1 1
Direct
0.6700 0.6700 0.0000
0.3309 0.3309 0.0000
0.9991 0.9991 0.0000
```


(2)
Compound: MgScCdN2
Source: Alexandria via LeMat-Bulk
Functional: PBE-GGA
Structure: relaxed

Results
VASP energy   -4.18 eV/atom
Uncorrected formation energy   922 meV per atom

Geometry as POSCAR:
```
MgScCdN2
1.0
-1.3963 -3.4024 -1.8353
3.1688 0.6201 -3.5604
2.7572 -2.2443 2.0630
N Cd Sc Mg
2 1 1 1
Direct
0.0000 0.0000 0.5000
0.5000 0.0000 0.0000
0.0000 0.5000 0.0000
0.5000 0.5000 0.5000
0.0000 0.0000 0.0000
```